No. 1
# ZrCoOs3 PBE relaxed
data_ZrCoOs3
_chemical_formula_sum 'Zr1 Co1 Os3'
_symmetry_space_group_name_H-M 'P m -3 m'
_symmetry_Int_Tables_number 221
_symmetry_space_group_name_Hall '-P 4 2 3'
_cell_length_a 4.438
_cell_length_b 4.438
_cell_length_c 4.438
_cell_angle_alpha 90.00
_cell_angle_beta 90.00
_cell_angle_gamma 90.00
loop_
_atom_site_label
_atom_site_type_symbol
_atom_site_fract_x
_atom_site_fract_y
_atom_site_fract_z
_atom_site_occupancy
Zr1 Zr 0.000 0.000 0.000 1
Co1 Co 0.500 0.500 0.500 1
Os1 Os 0.000 0.500 0.500 1
# Energy of formation from the pure elements: 1.107 eV per atom
# Total magnetic moment: 0.60 μB/atom

=====

No. 2
# SrIn3Hg PBE relaxed
data_SrIn3Hg
_chemical_formula_sum 'Sr1 In3 Hg1'
_symmetry_space_group_name_H-M 'P m -3 m'
_symmetry_Int_Tables_number 221
_symmetry_space_group_name_Hall '-P 4 2 3'
_cell_length_a 6.380
_cell_length_b 6.380
_cell_length_c 6.380
_cell_angle_alpha 90.00
_cell_angle_beta 90.00
_cell_angle_gamma 90.00
loop_
_atom_site_label
_atom_site_type_symbol
_atom_site_fract_x
_atom_site_fract_y
_atom_site_fract_z
_atom_site_occupancy
Sr1 Sr 0.000 0.000 0.000 1
In1 In 0.000 0.000 0.500 1
Hg1 Hg 0.500 0.500 0.500 1
# Energy of formation from the pure elements: 0.643 eV per atom
# Total magnetic moment: 0.00 μB/atom

=====

No. 3
# Ac2Al3Ag4Hg PBE relaxed
data_Ac2Al3Ag4Hg
_chemical_formula_sum 'Ac2 Al3 Ag4 Hg1'
_symmetry_space_group_name_H-M 'P -4 m 2'
_symmetry_Int_Tables_number 115
_symmetry_space_group_name_Hall 'P -4 -2'
_cell_length_a 4.625
_cell_length_b 4.625
_cell_length_c 11.024
_cell_angle_alpha 90.00
_cell_angle_beta 90.00
_cell_angle_gamma 90.00
loop_
_atom_site_label
_atom_site_type_symbol
_atom_site_fract_x
_atom_site_fract_y
_atom_site_fract_z
_atom_site_occupancy
Ac1 Ac 0.000 0.500 0.246 1
Al1 Al 0.000 0.500 0.879 1
Al2 Al 0.500 0.500 0.500 1
Ag1 Ag 0.000 0.000 0.000 1
Ag2 Ag 0.000 0.500 0.645 1
Ag3 Ag 0.500 0.500 0.000 1
Hg1 Hg 0.000 0.000 0.500 1
# Energy of formation from the pure elements: -0.288 eV per atom
# Total magnetic moment: 0.00 μB/atom